i) First-principles (PBE) data for a relaxed PrAl4Ag2 crystal, as listed in the Alexandria database.

It has space group Cmmm (No. 65), with a = 4.334 Å, b = 15.077 Å, c = 4.308 Å, α = 90.00°, β = 90.00° and γ = 90.00°. Symmetry generates all atoms from Pr at (0.000, 0.000, 0.000), Al at (0.000, 0.189, 0.500), Al at (0.000, 0.309, 0.000) and Ag at (0.000, 0.410, 0.500).

ii) First-principles (PBE) data for a relaxed PrAl4Ag2 crystal, as listed in the Alexandria database.

It has space group C2/m (No. 12), with a = 9.514 Å, b = 6.747 Å, c = 5.173 Å, α = 90.00°, β = 122.89° and γ = 90.00°. Symmetry generates all atoms from Pr at (0.000, 0.000, 0.000), Al at (0.189, 0.201, 0.705) and Ag at (0.060, 0.500, 0.307).

Name the least stable of them. ii).